# NpAl2Ga

An optimized crystal structure of NpAl2Ga (PBE-GGA, the Alexandria database).

Calculated values
Density in g cm⁻³: 7.9
E above lowest polymorph in meV per atom: 138
ΔE_f in eV per formula unit: 0.04

Cell lengths 2.788, 5.276, 5.972 Å; angles 116.22, 103.50, 90.00 degrees
Site moments in Bohr magnetons follow the coordinates.
Element x y z (fractional)
Al  0.768  0.268  0.535  -0.01
Al  0.232  0.732  0.465  -0.01
Np  0.000  0.000  0.000  3.82
Ga  0.500  0.500  0.000  -0.04